# 1
## Mn3ZnRu (PBE)

Data for a relaxed structure of Mn3ZnRu.

Cell lengths 4.2063, 4.2063, 4.2063 Å; angles 90.00, 90.00, 90.00 degrees
Last column: nearest neighbours and their distance in Å.
Space group Pm-3m (No. 221)
Inequivalent atoms, fractional coordinates:
1 Mn 0.0000 0.0000 0.5000 (multiplicity 3)  2 Zn 2.10
2 Zn 0.0000 0.0000 0.0000 (multiplicity 1)  6 Mn 2.10
3 Ru 0.5000 0.5000 0.5000 (multiplicity 1)  12 Mn 2.97

Summary:
Fermi-level density of states, states/eV/atom: 1.43
Relative energy among the computed polymorphs, kJ per mole of atoms: 66.4

# 2
## Mn2ZnRu (PBE)

Data for a relaxed structure of Mn2ZnRu.

Cell lengths 3.8769, 3.8769, 6.9529 Å; angles 90.00, 90.00, 90.00 degrees
Last column: nearest neighbours and their distance in Å.
Space group I-4m2 (No. 119)
Inequivalent atoms, fractional coordinates:
1 Mn 0.0000 0.0000 0.0000 (multiplicity 2)  4 Mn 2.60, 4 Ru 2.60, 4 Zn 2.74
2 Mn 0.0000 0.5000 0.2500 (multiplicity 2)  4 Mn 2.60, 4 Zn 2.60, 4 Ru 2.74
3 Zn 0.0000 0.0000 0.5000 (multiplicity 2)  8 Mn 2.60-2.74, 4 Ru 2.60
4 Ru 0.0000 0.5000 0.7500 (multiplicity 2)  8 Mn 2.60-2.74, 4 Zn 2.60

Summary:
Energy, eV/atom: -7.112
Fermi-level density of states, states/eV/atom: 0.86

# 3
## Mn2ZnRu (PBE)

Data for a relaxed structure of Mn2ZnRu.

Cell lengths 6.8280, 6.8280, 5.1566 Å; angles 90.00, 90.00, 90.00 degrees
Last column: nearest neighbours and their distance in Å.
Space group I-42d (No. 122)
Inequivalent atoms, fractional coordinates:
1 Mn 0.2393 0.2500 0.1250 (multiplicity 8)  2 Ru 2.45, 2 Zn 2.55, 2 Mn 2.58
2 Zn 0.0000 0.0000 0.5000 (multiplicity 4)  4 Mn 2.55, 2 Ru 2.58
3 Ru 0.0000 0.0000 0.0000 (multiplicity 4)  4 Mn 2.45, 2 Zn 2.58

Summary:
Energy, eV/atom: -6.660
Fermi-level density of states, states/eV/atom: 1.11

# 4
## MnZnRu (PBE)

Data for a relaxed structure of MnZnRu.

Cell lengths 2.6674, 2.6674, 6.4026 Å; angles 90.00, 90.00, 120.00 degrees
Last column: nearest neighbours and their distance in Å.
Space group P3m1 (No. 156)
Inequivalent atoms, fractional coordinates:
1 Mn 0.0000 0.0000 0.0000 (multiplicity 1)  3 Ru 2.48, 3 Zn 2.65, 6 Mn 2.67
2 Zn 0.3333 0.6667 0.6632 (multiplicity 1)  3 Mn 2.65, 6 Zn 2.67, 3 Ru 2.77
3 Ru 0.6667 0.3333 0.3039 (multiplicity 1)  3 Mn 2.48, 6 Ru 2.67, 3 Zn 2.77

Summary:
Fermi-level density of states, states/eV/atom: 1.09
Relative energy among the computed polymorphs, kJ per mole of atoms: 4.2

# 5
## MnZnRu2 (PBE)

Data for a relaxed structure of MnZnRu2.

Cell lengths 8.9742, 2.8226, 4.4667 Å; angles 90.00, 102.24, 90.00 degrees
Last column: nearest neighbours and their distance in Å.
Space group Cm (No. 8)
Inequivalent atoms, fractional coordinates:
1 Mn 0.0000 0.0000 0.0000 (multiplicity 2)  7 Ru 2.62-2.76, 3 Zn 2.64-2.69, 2 Mn 2.82
2 Zn 0.2471 0.0000 0.7693 (multiplicity 2)  7 Ru 2.64-2.76, 3 Mn 2.64-2.69, 2 Zn 2.82
3 Ru 0.2510 0.5000 0.2727 (multiplicity 2)  5 Ru 2.62-2.82, 4 Zn 2.64-2.65, 3 Mn 2.72-2.76
4 Ru 0.4950 0.0000 0.4926 (multiplicity 2)  5 Ru 2.62-2.82, 4 Mn 2.62-2.66, 3 Zn 2.73-2.76

Summary:
Energy, eV/atom: -7.169
Fermi-level density of states, states/eV/atom: 0.98

# 6
## Mn2ZnRu (PBE)

Data for a relaxed structure of Mn2ZnRu.

Cell lengths 2.6266, 4.0412, 5.1007 Å; angles 90.00, 104.34, 90.00 degrees
Last column: nearest neighbours and their distance in Å.
Space group Pm (No. 6)
Inequivalent atoms, fractional coordinates:
1 Mn 0.0000 0.0000 0.0000 (multiplicity 1)  4 Mn 2.39-2.63, 2 Ru 2.52-2.66, 2 Zn 2.64
2 Mn 0.2907 0.5000 0.2427 (multiplicity 1)  4 Mn 2.39-2.63, 2 Zn 2.56-2.59, 2 Ru 2.61
3 Zn 0.4284 0.5000 0.7574 (multiplicity 1)  6 Mn 2.56-2.75, 2 Zn 2.63, 4 Ru 2.71-2.78
4 Ru 0.8278 0.0000 0.4924 (multiplicity 1)  4 Mn 2.52-2.66, 2 Ru 2.63, 4 Zn 2.71-2.78

Summary:
Energy, eV/atom: -7.127
Fermi-level density of states, states/eV/atom: 0.84